Entry from the Alexandria database: a relaxed TiCu2Sn crystal (PBE-GGA).

Output
DOS(E_F)	3.79	states/eV per cell
crystal system	tetragonal
calculated formation energy	-0.126	eV per atom

Geometry as POSCAR:
```
TiCu2Sn
1.0
3.973 0.000 0.000
0.000 3.973 0.000
0.000 0.000 3.985
Ti Cu Sn
1 2 1
Direct
0.000 0.000 0.000
0.000 0.500 0.500
0.500 0.000 0.500
0.500 0.500 0.000
```